# Y2HoErP4 (GGA-PBE, optimized geometry)
# - Space group: P2/m, No. 10
# - ΔH_f (0 K): -1621.2 meV/atom
data_Y2HoErP4
_symmetry_space_group_name_H-M 'P 1'
_symmetry_Int_Tables_number 1
_symmetry_space_group_name_Hall 'P 1'
_cell_length_a 3.997
_cell_length_b 6.920
_cell_length_c 6.920
_cell_angle_alpha 109.46
_cell_angle_beta 90.00
_cell_angle_gamma 90.00
loop_
_atom_site_label
_atom_site_type_symbol
_atom_site_fract_x
_atom_site_fract_y
_atom_site_fract_z
P1 P 0.000 0.250 0.752
Er1 Er 0.000 0.000 0.000
P2 P 0.500 0.249 0.247
P3 P 0.500 0.751 0.753
P4 P 0.000 0.750 0.248
Ho1 Ho 0.500 0.500 0.000
Y1 Y 0.000 0.500 0.500
Y2 Y 0.500 0.000 0.500



# Y3HoEr2P6 (GGA-PBE, optimized geometry)
# - Space group: C2/m, No. 12
# - ΔH_f (0 K): -1620.5 meV/atom
data_Y3HoEr2P6
_symmetry_space_group_name_H-M 'P 1'
_symmetry_Int_Tables_number 1
_symmetry_space_group_name_Hall 'P 1'
_cell_length_a 6.918
_cell_length_b 6.918
_cell_length_c 6.919
_cell_angle_alpha 99.58
_cell_angle_beta 99.58
_cell_angle_gamma 119.99
loop_
_atom_site_label
_atom_site_type_symbol
_atom_site_fract_x
_atom_site_fract_y
_atom_site_fract_z
Y1 Y 0.833 0.167 0.500
Y2 Y 0.167 0.833 0.500
P1 P 0.252 0.252 0.753
P2 P 0.748 0.748 0.247
Ho1 Ho 0.000 0.000 0.000
Er1 Er 0.333 0.667 0.000
P3 P 0.584 0.918 0.753
P4 P 0.416 0.082 0.247
P5 P 0.082 0.416 0.247
Er2 Er 0.667 0.333 0.000
P6 P 0.918 0.584 0.753
Y3 Y 0.500 0.500 0.500



# HoEr2ZrP4 (GGA-PBE, optimized geometry)
# - Space group: P2/m, No. 10
# - ΔH_f (0 K): -1552.5 meV/atom
data_HoEr2ZrP4
_symmetry_space_group_name_H-M 'P 1'
_symmetry_Int_Tables_number 1
_symmetry_space_group_name_Hall 'P 1'
_cell_length_a 3.902
_cell_length_b 6.766
_cell_length_c 6.765
_cell_angle_alpha 109.29
_cell_angle_beta 90.00
_cell_angle_gamma 90.00
loop_
_atom_site_label
_atom_site_type_symbol
_atom_site_fract_x
_atom_site_fract_y
_atom_site_fract_z
P1 P 0.000 0.756 0.246
P2 P 0.500 0.241 0.242
Ho1 Ho 0.500 0.500 0.000
Er1 Er 0.000 0.500 0.500
P3 P 0.500 0.759 0.758
P4 P 0.000 0.244 0.754
Zr1 Zr 0.000 0.000 0.000
Er2 Er 0.500 0.000 0.500



# HoErZr2P4 (GGA-PBE, optimized geometry)
# - Space group: P2/m, No. 10
# - ΔH_f (0 K): -1482.5 meV/atom
data_HoErZr2P4
_symmetry_space_group_name_H-M 'P 1'
_symmetry_Int_Tables_number 1
_symmetry_space_group_name_Hall 'P 1'
_cell_length_a 3.831
_cell_length_b 6.641
_cell_length_c 6.722
_cell_angle_alpha 109.28
_cell_angle_beta 90.00
_cell_angle_gamma 90.00
loop_
_atom_site_label
_atom_site_type_symbol
_atom_site_fract_x
_atom_site_fract_y
_atom_site_fract_z
Ho1 Ho 0.500 0.500 0.000
P1 P 0.000 0.755 0.262
Er1 Er 0.000 0.000 0.000
Zr1 Zr 0.500 0.000 0.500
P2 P 0.000 0.245 0.738
P3 P 0.500 0.747 0.738
P4 P 0.500 0.253 0.262
Zr2 Zr 0.000 0.500 0.500



# Ho2ErPa (GGA-PBE, optimized geometry)
# - Space group: P4/mmm, No. 123
# - ΔH_f (0 K): 126.6 meV/atom
# - Energy above the lowest structure with this stoichiometry: 21 meV/atom
data_Ho2ErPa
_symmetry_space_group_name_H-M 'P 1'
_symmetry_Int_Tables_number 1
_symmetry_space_group_name_Hall 'P 1'
_cell_length_a 3.399
_cell_length_b 3.399
_cell_length_c 10.099
_cell_angle_alpha 90.00
_cell_angle_beta 90.00
_cell_angle_gamma 90.00
loop_
_atom_site_label
_atom_site_type_symbol
_atom_site_fract_x
_atom_site_fract_y
_atom_site_fract_z
Pa1 Pa 0.500 0.500 0.000
Ho1 Ho 0.000 0.000 0.235
Er1 Er 0.500 0.500 0.500
Ho2 Ho 0.000 0.000 0.765



# Ho2ErPa (GGA-PBE, optimized geometry)
# - Space group: P4/mmm, No. 123
# - ΔH_f (0 K): 290.0 meV/atom
# - Energy above the lowest structure with this stoichiometry: 184 meV/atom
data_Ho2ErPa
_symmetry_space_group_name_H-M 'P 1'
_symmetry_Int_Tables_number 1
_symmetry_space_group_name_Hall 'P 1'
_cell_length_a 3.499
_cell_length_b 5.759
_cell_length_c 5.759
_cell_angle_alpha 90.00
_cell_angle_beta 90.00
_cell_angle_gamma 90.00
loop_
_atom_site_label
_atom_site_type_symbol
_atom_site_fract_x
_atom_site_fract_y
_atom_site_fract_z
Ho1 Ho 0.000 0.500 0.000
Pa1 Pa 0.500 0.000 0.000
Er1 Er 0.500 0.500 0.500
Ho2 Ho 0.000 0.000 0.500



# Ho2ErPa (GGA-PBE, optimized geometry)
# - Space group: R-3m, No. 166
# - ΔH_f (0 K): 270.7 meV/atom
# - Energy above the lowest structure with this stoichiometry: 165 meV/atom
data_Ho2ErPa
_symmetry_space_group_name_H-M 'P 1'
_symmetry_Int_Tables_number 1
_symmetry_space_group_name_Hall 'P 1'
_cell_length_a 3.315
_cell_length_b 3.315
_cell_length_c 12.285
_cell_angle_alpha 82.25
_cell_angle_beta 82.25
_cell_angle_gamma 60.00
loop_
_atom_site_label
_atom_site_type_symbol
_atom_site_fract_x
_atom_site_fract_y
_atom_site_fract_z
Ho1 Ho 0.088 0.088 0.737
Er1 Er 0.500 0.500 0.500
Ho2 Ho 0.912 0.912 0.263
Pa1 Pa 0.000 0.000 0.000



# Ho2ErPa (GGA-PBE, optimized geometry)
# - Space group: R3m, No. 160
# - ΔH_f (0 K): 105.7 meV/atom
# - Energy above the lowest structure with this stoichiometry: 0 meV/atom
data_Ho2ErPa
_symmetry_space_group_name_H-M 'P 1'
_symmetry_Int_Tables_number 1
_symmetry_space_group_name_Hall 'P 1'
_cell_length_a 3.414
_cell_length_b 3.414
_cell_length_c 11.604
_cell_angle_alpha 81.54
_cell_angle_beta 81.54
_cell_angle_gamma 60.00
loop_
_atom_site_label
_atom_site_type_symbol
_atom_site_fract_x
_atom_site_fract_y
_atom_site_fract_z
Pa1 Pa 0.501 0.501 0.498
Er1 Er 0.666 0.666 0.001
Ho1 Ho 0.085 0.085 0.744
Ho2 Ho 0.248 0.248 0.257